NiPS2O: relaxed, PBE+U.

Output
Its space group is No. 123. For the energy above the most stable polymorph in this dataset, the calculation gives 76 meV per atom.

Cell: 4.377 4.377 4.324 Å, 90.00 90.00 90.00°
Element x y z (fractional)
Ni (0.000, 0.000, 0.000)
P (0.000, 0.000, 0.500)
S (0.000, 0.500, 0.000)
S (0.500, 0.000, 0.000)
O (0.500, 0.500, 0.500)